The following is a DFT calculation (PBE) of a relaxed Mg2HIrRh crystal.

Values from the calculation:
calculated density = 8.90 Mg/m³
ΔE to the lowest computed polymorph = 0.000 eV/atom
symmetry = P4/mmm

POSCAR file:
```
Mg2HIrRh
1.0
4.3591 0.0000 0.0000
0.0000 4.3591 0.0000
0.0000 0.0000 3.3837
Mg H Ir Rh
2 1 1 1
Direct
0.0000 0.5000 0.0000
0.5000 0.0000 0.0000
0.0000 0.0000 0.0000
0.5000 0.5000 0.5000
0.0000 0.0000 0.5000
```